Gd4GaSbS9, optimized geometry, DFT PBE-GGA; E_form (uncorrected) = -1552 meV per atom
1.0
-6.873 -7.224 -0.777
6.319 -6.180 4.680
-5.266 3.717 12.018
Gd Ga Sb S
16 4 4 36
Direct
0.128 0.091 0.812
0.909 0.872 0.188
0.628 0.591 0.688
0.409 0.372 0.312
0.338 0.317 0.599
0.683 0.662 0.401
0.838 0.817 0.901
0.183 0.162 0.099
0.626 0.043 0.686
0.957 0.374 0.314
0.126 0.543 0.814
0.457 0.874 0.186
0.448 0.332 0.895
0.668 0.552 0.105
0.948 0.832 0.605
0.168 0.052 0.395
0.388 0.824 0.909
0.176 0.612 0.091
0.888 0.324 0.591
0.676 0.112 0.409
0.327 0.838 0.613
0.162 0.673 0.387
0.827 0.338 0.887
0.662 0.173 0.113
0.163 0.019 0.599
0.981 0.837 0.401
0.663 0.519 0.901
0.481 0.337 0.099
0.661 0.154 0.918
0.846 0.339 0.082
0.161 0.654 0.582
0.346 0.839 0.418
0.208 0.819 0.802
0.181 0.792 0.198
0.708 0.319 0.698
0.681 0.292 0.302
0.576 0.822 0.811
0.178 0.424 0.189
0.076 0.322 0.689
0.678 0.924 0.311
0.874 0.126 0.500
0.374 0.626 0.000
0.496 0.115 0.512
0.885 0.504 0.488
0.996 0.615 0.988
0.385 0.004 0.012
0.680 0.811 0.570
0.189 0.320 0.430
0.180 0.311 0.930
0.689 0.820 0.070
0.881 0.002 0.754
0.998 0.119 0.246
0.381 0.502 0.746
0.498 0.619 0.254
0.506 0.494 0.500
0.006 0.994 0.000
0.391 0.143 0.755
0.857 0.609 0.245
0.891 0.643 0.745
0.357 0.109 0.255

CrAgPd2, optimized geometry, DFT PBE-GGA; ΔH_f (0 K) = 15 meV per atom; relative energy among the computed polymorphs = 0.0 kJ per mole of atoms
1.0
-0.614 -0.077 3.726
2.840 -2.896 0.408
2.849 2.868 0.528
Cr Pd Ag
1 2 1
Direct
0.500 0.500 0.500
0.000 0.000 0.500
0.000 0.500 0.000
0.500 0.000 0.000

Ac2As4Ir3Pd, optimized geometry, DFT PBE-GGA; ΔH_f (0 K) = -799 meV per atom
1.0
4.497 0.000 0.000
0.000 4.497 0.000
0.000 0.000 9.926
Ac As Ir Pd
2 4 3 1
Direct
0.500 0.000 0.247
0.000 0.500 0.753
0.500 0.500 0.000
0.000 0.000 0.000
0.500 0.000 0.635
0.000 0.500 0.365
0.000 0.000 0.500
0.500 0.000 0.888
0.000 0.500 0.112
0.500 0.500 0.500

Ti6Ga3W, optimized geometry, DFT PBE-GGA; ΔH_f (0 K) = 657 meV per atom
1.0
6.683 0.000 0.000
3.342 5.788 0.000
3.342 1.929 5.457
Ti Ga W
6 3 1
Direct
0.750 0.750 0.250
0.250 0.750 0.750
0.250 0.750 0.250
0.750 0.250 0.250
0.750 0.250 0.750
0.250 0.250 0.750
0.750 0.750 0.750
0.250 0.250 0.250
0.500 0.500 0.500
0.000 0.000 0.000

DyAl2Cd, optimized geometry, DFT PBE-GGA; ΔH_f (0 K) = -171 meV per atom; relative energy among the computed polymorphs = 15.4 kJ per mole of atoms
1.0
4.493 0.000 0.000
2.247 3.891 0.000
2.247 1.297 5.080
Cd Al Dy
1 2 1
Direct
0.500 0.500 0.500
0.780 0.780 0.660
0.220 0.220 0.340
0.000 0.000 0.000

Er2SiSn2Rh4, optimized geometry, DFT PBE-GGA; E_form (uncorrected) = -444 meV per atom
1.0
-2.697 -5.478 1.522
4.696 0.217 -4.183
3.698 3.011 4.105
Er Si Sn Rh
2 1 2 4
Direct
0.000 0.699 0.699
0.000 0.301 0.301
0.000 0.000 0.000
0.500 0.750 0.250
0.500 0.250 0.750
0.000 0.743 0.257
0.485 0.743 0.743
0.000 0.257 0.743
0.515 0.257 0.257

Zr2TeCl, optimized geometry, DFT PBE-GGA; relative energy among the computed polymorphs = 27.5 kJ per mole of atoms; E_form (uncorrected) = -577 meV per atom
1.0
0.000 3.478 3.478
3.478 0.000 3.478
3.478 3.478 0.000
Te Zr Cl
1 2 1
Direct
0.500 0.500 0.500
0.250 0.250 0.250
0.750 0.750 0.750
0.000 0.000 0.000

Y2ZrO5, optimized geometry, DFT PBE-GGA; E_form (uncorrected) = -3446 meV per atom
1.0
6.038 0.000 0.000
0.000 6.619 0.000
0.000 0.000 9.734
Y Zr O
8 4 20
Direct
0.484 0.501 0.825
0.516 0.499 0.175
0.984 0.499 0.675
0.516 0.001 0.175
0.016 0.501 0.325
0.484 0.999 0.825
0.016 0.999 0.325
0.984 0.001 0.675
0.438 0.250 0.506
0.562 0.750 0.494
0.938 0.750 0.994
0.062 0.250 0.006
0.058 0.250 0.504
0.942 0.750 0.496
0.558 0.750 0.996
0.442 0.250 0.004
0.347 0.972 0.596
0.653 0.028 0.404
0.847 0.028 0.904
0.653 0.472 0.404
0.153 0.972 0.096
0.347 0.528 0.596
0.153 0.528 0.096
0.847 0.472 0.904
0.190 0.250 0.793
0.810 0.750 0.207
0.690 0.750 0.707
0.310 0.250 0.293
0.668 0.250 0.684
0.332 0.750 0.316
0.168 0.750 0.816
0.832 0.250 0.184

VFeP, optimized geometry, DFT PBE-GGA; ΔH_f (0 K) = -783 meV per atom
1.0
-1.393 -2.039 -2.462
2.103 -4.745 2.740
-8.472 -0.749 5.414
V Fe P
6 6 6
Direct
0.750 0.530 0.383
0.250 0.980 0.710
0.750 0.020 0.290
0.750 0.653 0.078
0.250 0.470 0.617
0.250 0.347 0.922
0.250 0.987 0.090
0.250 0.855 0.460
0.750 0.638 0.794
0.750 0.145 0.540
0.250 0.362 0.206
0.750 0.013 0.910
0.250 0.764 0.914
0.750 0.270 0.749
0.750 0.766 0.584
0.750 0.236 0.086
0.250 0.234 0.416
0.250 0.730 0.251

CaSiTc, optimized geometry, DFT PBE-GGA; relative energy among the computed polymorphs = 14.3 kJ per mole of atoms; E_form (uncorrected) = -247 meV per atom
1.0
10.679 0.000 0.000
0.000 5.325 0.000
0.000 0.000 4.174
Ca Si Tc
4 4 4
Direct
0.500 0.000 0.500
0.000 0.500 0.500
0.000 0.000 0.000
0.500 0.500 0.000
0.707 0.000 0.000
0.293 0.000 0.000
0.207 0.500 0.000
0.793 0.500 0.000
0.250 0.250 0.500
0.250 0.750 0.500
0.750 0.250 0.500
0.750 0.750 0.500

AcLa2Pa, optimized geometry, DFT PBE-GGA; ΔH_f (0 K) = 162 meV per atom; relative energy among the computed polymorphs = 0.0 kJ per mole of atoms
1.0
-0.225 1.521 -3.230
0.028 -3.236 -1.525
-10.800 -0.367 0.580
Ac Pa La
1 1 2
Direct
0.500 0.500 0.500
0.500 0.500 0.000
0.000 0.000 0.786
0.000 0.000 0.214

LaReP2, optimized geometry, DFT PBE-GGA; ΔH_f (0 K) = -794 meV per atom; relative energy among the computed polymorphs = 0.0 kJ per mole of atoms
1.0
5.560 0.004 0.002
4.004 3.858 0.002
4.004 1.617 3.503
La P Re
1 2 1
Direct
0.750 0.750 0.750
0.960 0.960 0.960
0.540 0.540 0.540
0.250 0.250 0.250

NpBiIr4, optimized geometry, DFT PBE-GGA; ΔH_f (0 K) = -108 meV per atom
1.0
5.369 0.000 0.000
2.684 4.650 0.000
2.684 1.550 4.384
Np Ir Bi
1 4 1
Direct
0.250 0.250 0.250
0.625 0.625 0.125
0.625 0.125 0.625
0.625 0.625 0.625
0.125 0.625 0.625
0.000 0.000 0.000

BaEu2Cd, optimized geometry, DFT PBE-GGA; ΔH_f (0 K) = -146 meV per atom; relative energy among the computed polymorphs = 0.0 kJ per mole of atoms
1.0
-3.071 -0.152 -2.650
1.928 -2.913 -2.068
-4.525 -7.004 5.647
Eu Ba Cd
2 1 1
Direct
0.000 0.000 0.816
0.000 0.000 0.184
0.500 0.500 0.500
0.500 0.500 0.000

La2V2Os, optimized geometry, DFT PBE-GGA; ΔH_f (0 K) = 270 meV per atom; relative energy among the computed polymorphs = 0.0 kJ per mole of atoms
1.0
6.452 0.000 0.000
0.000 6.452 0.000
0.000 0.000 5.218
La Os V
4 2 4
Direct
0.176 0.676 0.500
0.676 0.824 0.500
0.824 0.324 0.500
0.324 0.176 0.500
0.000 0.000 0.000
0.500 0.500 0.000
0.359 0.859 0.000
0.859 0.641 0.000
0.641 0.141 0.000
0.141 0.359 0.000

CaZnI2Cl, optimized geometry, DFT PBE-GGA; E_form (uncorrected) = -779 meV per atom
1.0
5.720 0.000 0.000
0.000 4.854 0.000
0.000 0.000 5.720
I Zn Ca Cl
2 1 1 1
Direct
0.000 0.000 0.500
0.500 0.000 0.000
0.000 0.000 0.000
0.500 0.500 0.500
0.000 0.500 0.000

Rb4Er3TiTe8, optimized geometry, DFT PBE-GGA; E_form (uncorrected) = -1207 meV per atom
1.0
-3.145 -8.275 0.349
6.518 -2.771 -6.977
3.366 3.770 7.278
Rb Er Ti Te
4 3 1 8
Direct
0.500 0.000 0.000
0.500 0.000 0.500
0.000 0.000 0.000
0.000 0.000 0.500
0.500 0.500 0.000
0.500 0.500 0.500
0.000 0.500 0.500
0.000 0.500 0.000
0.223 0.692 0.969
0.223 0.692 0.446
0.267 0.300 0.533
0.746 0.692 0.969
0.254 0.308 0.031
0.733 0.700 0.467
0.777 0.308 0.554
0.777 0.308 0.031

La3Sm4Rh4, optimized geometry, DFT PBE-GGA; ΔH_f (0 K) = -535 meV per atom
1.0
4.661 0.000 0.000
0.000 7.893 0.000
-2.331 -3.947 7.798
La Sm Rh
3 4 4
Direct
0.097 0.097 0.194
0.903 0.903 0.806
0.000 0.500 0.000
0.330 0.117 0.661
0.670 0.456 0.339
0.670 0.883 0.339
0.330 0.544 0.661
0.207 0.707 0.414
0.793 0.293 0.586
0.500 0.812 0.000
0.500 0.188 0.000

TaFeBr3, optimized geometry, DFT PBE-GGA; relative energy among the computed polymorphs = 0.0 kJ per mole of atoms; E_form (uncorrected) = 599 meV per atom
1.0
-3.674 -3.621 -0.411
2.983 -2.652 -3.294
2.095 -2.575 3.970
Fe Br Ta
1 3 1
Direct
0.500 0.500 0.500
0.000 0.500 0.000
0.000 0.000 0.500
0.500 0.000 0.000
0.000 0.000 0.000

Sr2OsC, optimized geometry, DFT PBE-GGA; ΔH_f (0 K) = 183 meV per atom
1.0
-1.424 6.215 -8.648
-6.156 -7.601 -4.449
-5.377 0.104 -5.714
Sr C Os
4 2 2
Direct
0.428 0.125 0.250
0.322 0.625 0.250
0.375 0.572 0.750
0.875 0.678 0.750
0.500 0.500 0.000
0.250 0.750 0.500
0.000 0.000 0.000
0.750 0.250 0.500